1.
The following is a DFT calculation (GGA-PBE) of Ba2ZnP after structural relaxation.

Cell lengths 4.778, 4.778, 6.644 Å; angles 90.00, 90.00, 90.00 degrees
Atoms (fractional coordinates):
Ba 0.000 0.000 0.000
Ba 0.500 0.500 0.497
Zn 0.500 0.500 0.996
P 0.000 0.000 0.501

Calculated values
calculated total energy = -2.987 eV per atom
spin magnetization = 0.011 μB per formula unit
relative energy among the computed polymorphs = 227 meV per atom
symmetry = P4mm, No. 99
crystal system = tetragonal
energy of formation = -0.355 eV per atom

2.
The following is a DFT calculation (GGA-PBE) of BaZn5P4 after structural relaxation.

Cell lengths 8.011, 8.011, 8.011 Å; angles 146.53, 131.70, 60.04 degrees
Atoms (fractional coordinates):
Ba 0.000 0.000 0.000
Zn 0.035 0.328 0.707
Zn 0.380 0.672 0.707
Zn 0.500 0.000 0.500
Zn 0.620 0.328 0.293
Zn 0.965 0.672 0.293
P 0.225 0.225 0.000
P 0.330 0.500 0.830
P 0.670 0.500 0.170
P 0.775 0.775 0.000

Calculated values
calculated total energy = -3.173 eV per atom
spin magnetization = 0.000 μB per formula unit
symmetry = Immm, No. 71
crystal system = orthorhombic
energy of formation = -0.180 eV per atom

3.
The following is a DFT calculation (GGA-PBE) of BaZn3P3 after structural relaxation.

Cell lengths 9.646, 9.646, 4.164 Å; angles 90.00, 90.00, 120.00 degrees
Atoms (fractional coordinates):
Ba 0.333 0.667 0.250
Ba 0.667 0.333 0.750
Zn 0.050 0.362 0.750
Zn 0.312 0.950 0.750
Zn 0.362 0.312 0.250
Zn 0.638 0.688 0.750
Zn 0.688 0.050 0.250
Zn 0.950 0.638 0.250
P 0.085 0.684 0.750
P 0.316 0.401 0.750
P 0.401 0.085 0.250
P 0.599 0.915 0.750
P 0.684 0.599 0.250
P 0.915 0.316 0.250

Calculated values
calculated total energy = -3.540 eV per atom
spin magnetization = 0.000 μB per formula unit
relative energy among the computed polymorphs = 81 meV per atom
symmetry = P6_3/m, No. 176
crystal system = hexagonal
energy of formation = -0.401 eV per atom

4.
The following is a DFT calculation (GGA-PBE) of BaZn2P after structural relaxation.

Cell lengths 5.683, 5.683, 5.683 Å; angles 132.21, 132.21, 69.90 degrees
Atoms (fractional coordinates):
Ba 0.000 0.000 0.000
Zn 0.250 0.750 0.500
Zn 0.750 0.250 0.500
P 0.500 0.500 0.000

Calculated values
calculated total energy = -2.519 eV per atom
spin magnetization = 0.000 μB per formula unit
symmetry = I4/mmm, No. 139
crystal system = tetragonal
energy of formation = -0.049 eV per atom

5.
The following is a DFT calculation (GGA-PBE) of BaZn2P after structural relaxation.

Cell lengths 3.753, 3.753, 6.731 Å; angles 90.00, 90.00, 90.00 degrees
Atoms (fractional coordinates):
Ba 0.000 0.000 0.000
Zn 0.500 0.500 0.318
Zn 0.500 0.500 0.682
P 0.000 0.000 0.500

Calculated values
calculated total energy = -2.456 eV per atom
spin magnetization = 0.000 μB per formula unit
symmetry = P4/mmm, No. 123
crystal system = tetragonal
energy of formation = 0.014 eV per atom

6.
The following is a DFT calculation (GGA-PBE) of BaZn2P after structural relaxation.

Cell lengths 6.576, 6.576, 3.434 Å; angles 104.73, 104.73, 123.40 degrees
Atoms (fractional coordinates):
Ba 0.000 0.000 0.000
Zn 0.000 0.500 0.500
Zn 0.500 0.000 0.500
P 0.500 0.500 0.000

Calculated values
calculated total energy = -2.339 eV per atom
spin magnetization = 0.000 μB per formula unit
symmetry = C2/m, No. 12
crystal system = monoclinic
energy of formation = 0.131 eV per atom

7.
The following is a DFT calculation (GGA-PBE) of Ba2ZnP after structural relaxation.

Cell lengths 6.651, 6.651, 6.651 Å; angles 138.68, 138.68, 59.86 degrees
Atoms (fractional coordinates):
Ba 0.000 0.000 0.000
Ba 0.750 0.250 0.500
Zn 0.500 0.500 0.000
P 0.250 0.750 0.500

Calculated values
calculated total energy = -2.976 eV per atom
spin magnetization = 0.006 μB per formula unit
relative energy among the computed polymorphs = 238 meV per atom
symmetry = I-4m2, No. 119
crystal system = tetragonal
energy of formation = -0.344 eV per atom

8.
The following is a DFT calculation (GGA-PBE) of BaZn2P after structural relaxation.

Cell lengths 5.482, 5.482, 5.482 Å; angles 135.27, 107.61, 89.26 degrees
Atoms (fractional coordinates):
Ba 0.000 0.000 0.000
Zn 0.338 0.838 0.500
Zn 0.534 0.534 0.000
P 0.683 0.183 0.500

Calculated values
calculated total energy = -2.750 eV per atom
spin magnetization = 0.000 μB per formula unit
symmetry = Imm2, No. 44
crystal system = orthorhombic
energy of formation = -0.280 eV per atom

9.
The following is a DFT calculation (GGA-PBE) of BaZnP3 after structural relaxation.

Cell lengths 4.854, 4.854, 4.854 Å; angles 90.00, 90.00, 90.00 degrees
Atoms (fractional coordinates):
Ba 0.000 0.000 0.000
Zn 0.500 0.500 0.500
P 0.000 0.500 0.500
P 0.500 0.000 0.500
P 0.500 0.500 0.000

Calculated values
calculated total energy = -3.820 eV per atom
spin magnetization = 0.000 μB per formula unit
relative energy among the computed polymorphs = 0 meV per atom
symmetry = Pm-3m, No. 221
crystal system = cubic
energy of formation = 0.066 eV per atom

10.
The following is a DFT calculation (GGA-PBE) of BaZn2P after structural relaxation.

Cell lengths 5.692, 5.692, 5.692 Å; angles 140.33, 117.84, 76.31 degrees
Atoms (fractional coordinates):
Ba 0.000 0.000 0.000
Zn 0.319 0.819 0.500
Zn 0.681 0.181 0.500
P 0.500 0.500 0.000

Calculated values
calculated total energy = -2.649 eV per atom
spin magnetization = 0.000 μB per formula unit
symmetry = Immm, No. 71
crystal system = orthorhombic
energy of formation = -0.179 eV per atom

11.
The following is a DFT calculation (GGA-PBE) of Ba2ZnP after structural relaxation.

Cell lengths 8.824, 8.824, 8.824 Å; angles 152.53, 150.84, 40.49 degrees
Atoms (fractional coordinates):
Ba 0.000 0.000 0.000
Ba 0.762 0.262 0.500
Zn 0.345 0.845 0.500
P 0.425 0.425 0.000

Calculated values
calculated total energy = -3.155 eV per atom
spin magnetization = 0.399 μB per formula unit
relative energy among the computed polymorphs = 59 meV per atom
symmetry = Imm2, No. 44
crystal system = orthorhombic
energy of formation = -0.522 eV per atom

12.
The following is a DFT calculation (GGA-PBE) of BaZn2P after structural relaxation.

Cell lengths 3.959, 3.958, 6.281 Å; angles 90.00, 90.00, 90.00 degrees
Atoms (fractional coordinates):
Ba 0.000 0.000 0.000
Zn 0.498 0.000 0.495
Zn 0.999 0.500 0.494
P 0.500 0.500 0.749

Calculated values
calculated total energy = -2.823 eV per atom
spin magnetization = 0.000 μB per formula unit
symmetry = Pm, No. 6
crystal system = monoclinic
energy of formation = -0.352 eV per atom

13.
The following is a DFT calculation (GGA-PBE) of BaZnP after structural relaxation.

Cell lengths 5.215, 5.215, 5.215 Å; angles 60.00, 60.00, 60.00 degrees
Atoms (fractional coordinates):
Ba 0.000 0.000 0.000
Zn 0.750 0.750 0.750
P 0.250 0.250 0.250

Calculated values
calculated total energy = -2.829 eV per atom
spin magnetization = 0.000 μB per formula unit
symmetry = F-43m, No. 216
crystal system = cubic
energy of formation = 0.040 eV per atom

14.
The following is a DFT calculation (GGA-PBE) of BaZn2P after structural relaxation.

Cell lengths 9.450, 9.450, 9.450 Å; angles 149.95, 149.95, 43.01 degrees
Atoms (fractional coordinates):
Ba 0.375 0.625 0.750
Ba 0.625 0.375 0.250
Zn 0.000 0.000 0.000
Zn 0.000 0.000 0.500
Zn 0.000 0.500 0.000
Zn 0.500 0.000 0.500
P 0.125 0.875 0.250
P 0.875 0.125 0.750

Calculated values
calculated total energy = -2.784 eV per atom
spin magnetization = 0.000 μB per formula unit
symmetry = I4_1/amd, No. 141
crystal system = tetragonal
energy of formation = -0.314 eV per atom

15.
The following is a DFT calculation (GGA-PBE) of Ba2ZnP after structural relaxation.

Cell lengths 4.056, 4.056, 7.955 Å; angles 90.00, 90.00, 90.00 degrees
Atoms (fractional coordinates):
Ba 0.000 0.000 0.213
Ba 0.000 0.000 0.787
Zn 0.500 0.500 0.500
P 0.500 0.500 0.000

Calculated values
calculated total energy = -3.177 eV per atom
spin magnetization = 0.000 μB per formula unit
relative energy among the computed polymorphs = 37 meV per atom
symmetry = P4/mmm, No. 123
crystal system = tetragonal
energy of formation = -0.544 eV per atom

16.
The following is a DFT calculation (GGA-PBE) of BaZn4P after structural relaxation.

Cell lengths 5.655, 5.655, 5.655 Å; angles 60.00, 60.00, 60.00 degrees
Atoms (fractional coordinates):
Ba 0.000 0.000 0.000
Zn 0.378 0.378 0.378
Zn 0.378 0.378 0.865
Zn 0.378 0.865 0.378
Zn 0.865 0.378 0.378
P 0.750 0.750 0.750

Calculated values
calculated total energy = -1.988 eV per atom
spin magnetization = 0.000 μB per formula unit
symmetry = F-43m, No. 216
crystal system = cubic
energy of formation = 0.083 eV per atom

17.
The following is a DFT calculation (GGA-PBE) of BaZn3P after structural relaxation.

Cell lengths 6.302, 6.302, 6.302 Å; angles 90.00, 90.00, 90.00 degrees
Atoms (fractional coordinates):
Ba 0.000 0.000 0.000
Zn 0.000 0.000 0.500
Zn 0.000 0.500 0.000
Zn 0.500 0.000 0.000
P 0.500 0.500 0.500

Calculated values
calculated total energy = -0.998 eV per atom
spin magnetization = 1.040 μB per formula unit
relative energy among the computed polymorphs = 1160 meV per atom
symmetry = Pm-3m, No. 221
crystal system = cubic
energy of formation = 1.233 eV per atom

18.
The following is a DFT calculation (GGA-PBE) of BaZn2P after structural relaxation.

Cell lengths 4.910, 4.333, 4.958 Å; angles 90.00, 92.61, 90.00 degrees
Atoms (fractional coordinates):
Ba 0.000 0.000 0.000
Zn 0.246 0.500 0.535
Zn 0.754 0.500 0.465
P 0.500 0.000 0.500

Calculated values
calculated total energy = -2.815 eV per atom
spin magnetization = 0.000 μB per formula unit
symmetry = P2/m, No. 10
crystal system = monoclinic
energy of formation = -0.345 eV per atom

19.
The following is a DFT calculation (GGA-PBE) of BaZnP after structural relaxation.

Cell lengths 5.111, 5.111, 5.111 Å; angles 60.00, 60.00, 60.00 degrees
Atoms (fractional coordinates):
Ba 0.000 0.000 0.000
Zn 0.500 0.500 0.500
P 0.250 0.250 0.250

Calculated values
calculated total energy = -3.164 eV per atom
spin magnetization = 0.000 μB per formula unit
symmetry = F-43m, No. 216
crystal system = cubic
energy of formation = -0.295 eV per atom

20.
The following is a DFT calculation (GGA-PBE) of Ba2ZnP after structural relaxation.

Cell lengths 8.756, 8.756, 8.756 Å; angles 31.11, 31.11, 31.11 degrees
Atoms (fractional coordinates):
Ba 0.235 0.235 0.235
Ba 0.765 0.765 0.765
Zn 0.000 0.000 0.000
P 0.500 0.500 0.500

Calculated values
calculated total energy = -3.168 eV per atom
spin magnetization = 0.093 μB per formula unit
relative energy among the computed polymorphs = 46 meV per atom
symmetry = R-3m, No. 166
crystal system = trigonal
energy of formation = -0.535 eV per atom

21.
The following is a DFT calculation (GGA-PBE) of Ba2ZnP after structural relaxation.

Cell lengths 9.419, 9.419, 9.419 Å; angles 25.75, 25.75, 25.75 degrees
Atoms (fractional coordinates):
Ba 0.000 0.000 0.000
Ba 0.179 0.179 0.179
Zn 0.757 0.757 0.757
P 0.422 0.422 0.422

Calculated values
calculated total energy = -3.104 eV per atom
spin magnetization = 0.000 μB per formula unit
relative energy among the computed polymorphs = 110 meV per atom
symmetry = R3m, No. 160
crystal system = trigonal
energy of formation = -0.471 eV per atom

22.
The following is a DFT calculation (GGA-PBE) of BaZnP after structural relaxation.

Cell lengths 4.188, 4.188, 5.005 Å; angles 90.00, 90.00, 120.00 degrees
Atoms (fractional coordinates):
Ba 0.000 0.000 0.000
Zn 0.333 0.667 0.500
P 0.667 0.333 0.500

Calculated values
calculated total energy = -3.519 eV per atom
spin magnetization = 0.538 μB per formula unit
symmetry = P-6m2, No. 187
crystal system = hexagonal
energy of formation = -0.650 eV per atom

23.
The following is a DFT calculation (GGA-PBE) of BaZn3P3 after structural relaxation.

Cell lengths 6.756, 6.756, 6.756 Å; angles 90.00, 90.00, 90.00 degrees
Atoms (fractional coordinates):
Ba 0.000 0.000 0.000
Ba 0.500 0.500 0.500
Zn 0.000 0.250 0.500
Zn 0.000 0.750 0.500
Zn 0.250 0.500 0.000
Zn 0.500 0.000 0.250
Zn 0.500 0.000 0.750
Zn 0.750 0.500 0.000
P 0.000 0.500 0.250
P 0.000 0.500 0.750
P 0.250 0.000 0.500
P 0.500 0.250 0.000
P 0.500 0.750 0.000
P 0.750 0.000 0.500

Calculated values
calculated total energy = -3.621 eV per atom
spin magnetization = 0.000 μB per formula unit
relative energy among the computed polymorphs = 0 meV per atom
symmetry = Pm-3n, No. 223
crystal system = cubic
energy of formation = -0.482 eV per atom

24.
The following is a DFT calculation (GGA-PBE) of BaZn3P after structural relaxation.

Cell lengths 4.997, 4.997, 4.997 Å; angles 90.00, 90.00, 90.00 degrees
Atoms (fractional coordinates):
Ba 0.000 0.000 0.000
Zn 0.000 0.500 0.500
Zn 0.500 0.000 0.500
Zn 0.500 0.500 0.000
P 0.500 0.500 0.500

Calculated values
calculated total energy = -2.158 eV per atom
spin magnetization = 0.000 μB per formula unit
relative energy among the computed polymorphs = 0 meV per atom
symmetry = Pm-3m, No. 221
crystal system = cubic
energy of formation = 0.073 eV per atom

25.
The following is a DFT calculation (GGA-PBE) of Ba2ZnP after structural relaxation.

Cell lengths 4.450, 6.597, 6.597 Å; angles 42.20, 90.00, 90.00 degrees
Atoms (fractional coordinates):
Ba 0.000 0.000 0.000
Ba 0.500 0.276 0.276
Zn 0.500 0.576 0.576
P 0.000 0.705 0.705

Calculated values
calculated total energy = -3.214 eV per atom
spin magnetization = 0.534 μB per formula unit
relative energy among the computed polymorphs = 0 meV per atom
symmetry = Amm2, No. 38
crystal system = orthorhombic
energy of formation = -0.582 eV per atom

26.
The following is a DFT calculation (GGA-PBE) of Ba2ZnP after structural relaxation.

Cell lengths 7.488, 7.488, 7.488 Å; angles 108.79, 108.79, 110.85 degrees
Atoms (fractional coordinates):
Ba 0.088 0.125 0.463
Ba 0.375 0.912 0.037
Ba 0.662 0.625 0.537
Ba 0.875 0.338 0.963
Zn 0.250 0.750 0.500
Zn 0.500 0.500 0.000
P 0.000 0.000 0.000
P 0.750 0.250 0.500

Calculated values
calculated total energy = -2.970 eV per atom
spin magnetization = 1.000 μB per formula unit
relative energy among the computed polymorphs = 244 meV per atom
symmetry = I-42d, No. 122
crystal system = tetragonal
energy of formation = -0.338 eV per atom

27.
The following is a DFT calculation (GGA-PBE) of Ba2ZnP after structural relaxation.

Cell lengths 5.558, 5.558, 5.558 Å; angles 60.00, 60.00, 60.00 degrees
Atoms (fractional coordinates):
Ba 0.000 0.000 0.000
Ba 0.250 0.250 0.250
Zn 0.750 0.750 0.750
P 0.500 0.500 0.500

Calculated values
calculated total energy = -2.649 eV per atom
spin magnetization = 0.000 μB per formula unit
relative energy among the computed polymorphs = 565 meV per atom
symmetry = F-43m, No. 216
crystal system = cubic
energy of formation = -0.017 eV per atom

28.
The following is a DFT calculation (GGA-PBE) of Ba3ZnP after structural relaxation.

Cell lengths 6.247, 6.247, 6.247 Å; angles 90.00, 90.00, 90.00 degrees
Atoms (fractional coordinates):
Ba 0.000 0.000 0.500
Ba 0.000 0.500 0.000
Ba 0.500 0.000 0.000
Zn 0.500 0.500 0.500
P 0.000 0.000 0.000

Calculated values
calculated total energy = -2.840 eV per atom
spin magnetization = 0.000 μB per formula unit
relative energy among the computed polymorphs = 0 meV per atom
symmetry = Pm-3m, No. 221
crystal system = cubic
energy of formation = -0.350 eV per atom